This record from the Alexandria database describes crystalline CeSm2Zn9 at its relaxed geometry. The functional is PBE.

Geometry as CIF:
```
data_CeSm2Zn9
_chemical_formula_sum 'Ce1 Sm2 Zn9'
_space_group_name_H-M_alt 'P 1'
_space_group_IT_number 1
_cell_length_a 9.271
_cell_length_b 9.271
_cell_length_c 9.271
_cell_angle_alpha 34.44
_cell_angle_beta 34.44
_cell_angle_gamma 34.44
loop_
_space_group_symop_operation_xyz
'x,y,z'
loop_
_atom_site_label
_atom_site_type_symbol
_atom_site_fract_x
_atom_site_fract_y
_atom_site_fract_z
Ce1 Ce 0.000 0.000 0.000
Sm1 Sm 0.141 0.141 0.141
Sm2 Sm 0.859 0.859 0.859
Zn1 Zn 0.077 0.584 0.584
Zn2 Zn 0.335 0.335 0.335
Zn3 Zn 0.416 0.416 0.923
Zn4 Zn 0.416 0.923 0.416
Zn5 Zn 0.500 0.500 0.500
Zn6 Zn 0.584 0.077 0.584
Zn7 Zn 0.584 0.584 0.077
Zn8 Zn 0.665 0.665 0.665
Zn9 Zn 0.923 0.416 0.416
```

Output
symmetry: R-3m, No. 166
E_tot: -2.524 eV/atom
magnetization: 0.6 μB per formula unit